(1)
BaMgCo2: relaxed, PBE.

Lattice parameters (Å, degrees): 3.3691 4.9201 4.9201 90.00 90.00 90.00
Site moments in Bohr magnetons follow the coordinates.
Fractional positions:
Co: 0.0000 0.0000 0.0000  1.37
Co: 0.0000 0.5000 0.5000  1.37
Mg: 0.5000 0.5000 0.0000  -0.02
Ba: 0.5000 0.0000 0.5000  -0.12

Energy of formation = 0.7538 eV/atom
Electronic total energy = -3.678 eV/atom

(2)
LaZnHgRh2: relaxed, PBE.

Lattice parameters (Å, degrees): 5.0340 5.5802 5.0340 90.00 90.00 90.00
Fractional positions:
Zn: 0.5000 0.5000 0.5000
La: 0.0000 0.5000 0.0000
Rh: 0.5000 0.0000 0.0000
Rh: 0.0000 0.0000 0.5000
Hg: 0.0000 0.0000 0.0000

Energy of formation = 0.8984 eV/atom
Electronic total energy = -3.343 eV/atom

(3)
Tb2Si2Ir5: relaxed, PBE.

Lattice parameters (Å, degrees): 4.1363 4.1363 8.8719 90.00 90.00 90.00
Fractional positions:
Ir: 0.5000 0.5000 0.5000
Ir: 0.5000 0.0000 0.7332
Ir: 0.5000 0.0000 0.2668
Ir: 0.0000 0.5000 0.2668
Ir: 0.0000 0.5000 0.7332
Si: 0.5000 0.5000 0.8629
Si: 0.5000 0.5000 0.1371
Tb: 0.0000 0.0000 0.5000
Tb: 0.0000 0.0000 0.0000

Electronic total energy = -7.955 eV/atom

(4)
ScH3Pd: relaxed, PBE.

Lattice parameters (Å, degrees): 3.5812 3.5812 3.5812 90.00 90.00 90.00
Fractional positions:
H: 0.0000 0.5000 0.0000
H: 0.5000 0.0000 0.0000
H: 0.0000 0.0000 0.5000
Sc: 0.5000 0.5000 0.5000
Pd: 0.0000 0.0000 0.0000

Electronic total energy = -4.683 eV/atom

(5)
ErScB4: relaxed, PBE.

Lattice parameters (Å, degrees): 3.4176 3.4176 6.1269 106.19 106.19 90.00
Fractional positions:
B: 0.6717 0.1717 0.3434
B: 0.5844 0.5844 0.1688
B: 0.8283 0.3283 0.6566
B: 0.4156 0.4156 0.8312
Sc: 0.2500 0.7500 0.5000
Er: 0.0000 0.0000 0.0000

Energy of formation = -0.5766 eV/atom
Electronic total energy = -6.844 eV/atom

(6)
BaSc2Rh: relaxed, PBE.

Lattice parameters (Å, degrees): 5.5663 6.2123 3.2860 76.00 87.10 115.76
Fractional positions:
Sc: 0.5000 0.0000 0.5000
Sc: 0.0000 0.0000 0.0000
Rh: 0.5000 0.5000 0.0000
Ba: 0.0000 0.5000 0.5000

Energy of formation = 0.2856 eV/atom
Electronic total energy = -5.199 eV/atom

(7)
In5Br4Cl: relaxed, PBE.

Lattice parameters (Å, degrees): 6.6748 8.1215 8.1215 80.28 65.74 65.74
Fractional positions:
In: 0.8998 0.3892 0.8044
In: 0.5046 0.0000 0.0000
In: 0.0935 0.6108 0.1956
In: 0.2890 0.8044 0.6108
In: 0.7043 0.1956 0.3892
Br: 0.3951 0.3978 0.7882
Br: 0.1834 0.2118 0.3978
Br: 0.7930 0.7882 0.6022
Br: 0.5812 0.6022 0.2118
Cl: 0.0664 0.0000 0.0000

Electronic total energy = -2.897 eV/atom

(8)
LiSmPb2Se4: relaxed, PBE.

Lattice parameters (Å, degrees): 4.2622 7.4538 7.2657 71.23 90.00 90.00
Fractional positions:
Sm: 0.0000 0.5000 0.5000
Se: 0.0000 0.7300 0.7565
Se: 0.5000 0.2708 0.7469
Se: 0.0000 0.2700 0.2435
Se: 0.5000 0.7292 0.2531
Pb: 0.5000 0.0000 0.5000
Pb: 0.0000 0.0000 0.0000
Li: 0.5000 0.5000 0.0000

Electronic total energy = -4.579 eV/atom